1.
{
  "formula": "NiMoSe2",
  "functional": "PBE",
  "state": "relaxed",
  "lattice_angstrom": [[-1.420, 5.441, -1.136], [-4.861, -1.561, -2.615], [-2.316, 0.919, 1.040]],
  "species": ["Ni", "Se", "Se", "Mo"],
  "fractional_positions": [[0.000, 0.500, 0.500], [0.500, 0.500, 0.000], [0.000, 0.000, 0.000], [0.500, 0.000, 0.500]],
  "raw_formation_energy_mev_per_atom": 366,
  "crystal_system": "monoclinic"
}


2.
{
  "formula": "Cd5Ag2Pd2",
  "functional": "PBE",
  "state": "relaxed",
  "lattice_angstrom": [[4.778, 0.000, 0.000], [0.000, 8.174, 0.000], [-2.389, -4.087, 8.786]],
  "species": ["Cd", "Cd", "Cd", "Cd", "Cd", "Cd", "Cd", "Cd", "Cd", "Cd", "Pd", "Pd", "Pd", "Pd", "Ag", "Ag", "Ag", "Ag"],
  "fractional_positions": [[0.751, 0.287, 0.500], [0.838, 0.708, 0.676], [0.162, 0.032, 0.324], [0.582, 0.786, 0.164], [0.918, 0.122, 0.836], [0.662, 0.532, 0.324], [0.249, 0.787, 0.500], [0.082, 0.286, 0.164], [0.338, 0.208, 0.676], [0.418, 0.622, 0.836], [0.415, 0.954, 0.831], [0.585, 0.123, 0.169], [0.915, 0.454, 0.831], [0.085, 0.623, 0.169], [0.749, 0.952, 0.500], [0.251, 0.452, 0.500], [0.500, 0.372, 0.000], [0.000, 0.872, 0.000]],
  "formation_enthalpy_0k_ev_per_atom": -0.130,
  "crystal_system": "orthorhombic"
}


3.
{
  "formula": "Ce4InSn3",
  "functional": "PBE",
  "state": "relaxed",
  "lattice_angstrom": [[4.673, 0.000, 0.000], [0.000, 4.410, 0.000], [0.000, 0.000, 11.778]],
  "species": ["Sn", "Sn", "Sn", "In", "Ce", "Ce", "Ce", "Ce"],
  "fractional_positions": [[0.000, 0.500, 0.590], [0.500, 0.000, 0.914], [0.000, 0.000, 0.412], [0.500, 0.500, 0.084], [0.000, 0.500, 0.863], [0.000, 0.000, 0.138], [0.500, 0.000, 0.636], [0.500, 0.500, 0.363]],
  "formation_enthalpy_0k_ev_per_atom": -0.507,
  "crystal_system": "orthorhombic"
}


4.
{
  "formula": "Sm2NpGe3Pt4",
  "functional": "PBE",
  "state": "relaxed",
  "lattice_angstrom": [[-0.497, 1.445, 4.028], [-0.284, -4.057, 1.421], [11.028, -0.263, 1.455]],
  "species": ["Pt", "Pt", "Pt", "Pt", "Ge", "Ge", "Ge", "Np", "Sm", "Sm"],
  "fractional_positions": [[0.500, 0.000, 0.657], [0.500, 0.500, 0.000], [0.000, 0.000, 0.000], [0.000, 0.500, 0.343], [0.500, 0.000, 0.877], [0.000, 0.000, 0.500], [0.000, 0.500, 0.123], [0.500, 0.500, 0.500], [0.500, 0.000, 0.223], [0.000, 0.500, 0.777]],
  "formation_enthalpy_0k_ev_per_atom": -0.798,
  "crystal_system": "tetragonal"
}


no.,volume (Å³/f.u.),VASP energy (eV/atom),mass density (g/cm3)
1,68.54,-5.53,7.57
2,171.57,-2.43,9.59
3,242.74,-5.32,7.06
4,206.50,-6.84,12.35